A relaxed structure of Ti5Sb2P. Source: Alexandria, functional PBE.

The structure in extended XYZ format:
```
16
Lattice="2.349 -6.730 0.000 2.349 6.730 0.000 0.000 0.000 11.386" Properties=species:S:1:pos:R:3 pbc="T T T"
Ti 2.349 5.471 7.185
Ti 2.349 5.471 9.894
Ti 2.349 2.894 2.847
Ti 2.349 2.758 6.171
Ti 2.349 2.758 10.909
Ti 2.349 -2.758 0.478
Ti 2.349 -2.758 5.215
Ti 2.349 -2.894 8.540
Ti 2.349 -5.471 1.492
Ti 2.349 -5.471 4.201
Sb 2.349 5.221 1.218
Sb 2.349 5.221 4.475
Sb 2.349 -5.221 6.911
Sb 2.349 -5.221 10.168
P 2.349 3.454 8.540
P 2.349 -3.454 2.847
```

calculated total energy: -6.799 eV per atom

***

A relaxed structure of TiSbP. Source: Alexandria, functional PBE.

The structure in extended XYZ format:
```
12
Lattice="6.398 0.000 0.000 0.000 6.398 0.000 0.000 0.000 6.398" Properties=species:S:1:pos:R:3 pbc="T T T"
Ti 0.294 0.294 0.294
Ti 2.905 6.104 3.493
Ti 3.493 2.905 6.104
Ti 6.104 3.493 2.905
Sb 0.791 3.990 5.607
Sb 2.408 2.408 2.408
Sb 3.990 5.607 0.791
Sb 5.607 0.791 3.990
P 0.701 5.697 2.498
P 2.498 0.701 5.697
P 3.901 3.901 3.901
P 5.697 2.498 0.701
```

calculated total energy: -6.055 eV per atom

***

A relaxed structure of Ti2SbP2. Source: Alexandria, functional PBE.

The structure in extended XYZ format:
```
5
Lattice="-1.773 1.773 6.670 1.773 -1.773 6.670 1.773 1.773 -6.670" Properties=species:S:1:pos:R:3 pbc="T T T"
Ti 0.000 0.000 1.526
Ti 0.000 0.000 11.813
Sb 0.000 0.000 6.670
P 1.773 0.000 3.335
P 0.000 1.773 3.335
```

ΔE to the lowest computed polymorph: 0 meV/atom
calculated total energy: -6.798 eV per atom

***

A relaxed structure of Ti3SbP. Source: Alexandria, functional PBE.

The structure in extended XYZ format:
```
5
Lattice="5.050 0.000 0.000 0.000 5.050 0.000 0.000 0.000 5.050" Properties=species:S:1:pos:R:3 pbc="T T T"
Ti 0.000 0.000 2.525
Ti 0.000 2.525 0.000
Ti 2.525 0.000 0.000
Sb 0.000 0.000 0.000
P 2.525 2.525 2.525
```

ΔE to the lowest computed polymorph: 1584 meV/atom
calculated total energy: -5.678 eV per atom

***

A relaxed structure of Ti2SbP2. Source: Alexandria, functional PBE.

The structure in extended XYZ format:
```
10
Lattice="7.234 0.000 0.000 0.000 7.234 0.000 0.000 0.000 3.219" Properties=species:S:1:pos:R:3 pbc="T T T"
Ti 1.072 2.545 0.000
Ti 2.545 6.162 0.000
Ti 4.689 1.072 0.000
Ti 6.162 4.689 0.000
Sb 0.000 0.000 0.000
Sb 3.617 3.617 0.000
P 0.969 4.586 1.610
P 2.648 0.969 1.610
P 4.586 6.265 1.610
P 6.265 2.648 1.610
```

ΔE to the lowest computed polymorph: 39 meV/atom
calculated total energy: -6.759 eV per atom

***

A relaxed structure of Ti2SbP. Source: Alexandria, functional PBE.

The structure in extended XYZ format:
```
4
Lattice="0.000 3.260 3.260 3.260 0.000 3.260 3.260 3.260 0.000" Properties=species:S:1:pos:R:3 pbc="T T T"
Ti 1.630 1.630 1.630
Ti 4.890 4.890 4.890
Sb 0.000 0.000 0.000
P 3.260 3.260 3.260
```

ΔE to the lowest computed polymorph: 562 meV/atom
calculated total energy: -6.678 eV per atom

***

A relaxed structure of Ti2SbP. Source: Alexandria, functional PBE.

The structure in extended XYZ format:
```
8
Lattice="3.638 0.000 0.000 -1.819 3.150 0.000 0.000 0.000 12.638" Properties=species:S:1:pos:R:3 pbc="T T T"
Ti 0.000 2.100 1.267
Ti 0.000 2.100 5.052
Ti 1.819 1.050 7.586
Ti 1.819 1.050 11.371
Sb 0.000 2.100 9.478
Sb 1.819 1.050 3.159
P 0.000 0.000 0.000
P 0.000 0.000 6.319
```

ΔE to the lowest computed polymorph: 0 meV/atom
calculated total energy: -7.240 eV per atom

***

A relaxed structure of Ti2SbP. Source: Alexandria, functional PBE.

The structure in extended XYZ format:
```
4
Lattice="1.820 1.051 6.404 -1.820 1.051 6.404 0.000 -2.102 6.404" Properties=species:S:1:pos:R:3 pbc="T T T"
Ti 0.000 0.000 4.456
Ti 0.000 0.000 14.757
Sb 0.000 0.000 0.000
P 0.000 0.000 9.606
```

ΔE to the lowest computed polymorph: 111 meV/atom
calculated total energy: -7.129 eV per atom